A relaxed CrTcRu2 crystal, computed with GGA-PBE.

a b c (Å): 2.6445 2.6445 8.7462
angles (deg): 90.00 90.00 115.07
Closest atoms and distances in Å follow each position.
Element x y z (fractional)
Tc: 0.5000 0.5000 0.2500  6 Tc 2.64-2.84, 4 Ru 2.70
Cr: 0.5000 0.5000 0.7500  4 Ru 2.52, 4 Cr 2.64
Ru: 0.0000 0.0000 0.5126  2 Cr 2.52, 4 Ru 2.64, 2 Tc 2.70
Ru: 0.0000 0.0000 0.9874  2 Cr 2.52, 4 Ru 2.64, 2 Tc 2.70

Results
Crystal system: orthorhombic
Electronic total energy in eV per atom: -9.28
SG: Cmmm
Energy above the most stable polymorph in this dataset in meV/atom: 289

---

A relaxed CrTcRu crystal, computed with GGA-PBE.

a b c (Å): 4.7050 2.7070 6.5574
angles (deg): 90.00 103.82 90.00
Closest atoms and distances in Å follow each position.
Element x y z (fractional)
Ru: 0.0245 0.2500 0.3254  3 Cr 2.58-2.60, 5 Tc 2.70-2.73, 4 Ru 2.71-2.72
Cr: 0.2468 0.2500 0.9983  3 Tc 2.58-2.60, 3 Ru 2.58-2.60, 6 Cr 2.69-2.74
Tc: 0.4732 0.2500 0.6762  3 Cr 2.58-2.60, 5 Ru 2.70-2.73, 4 Tc 2.71-2.74
Ru: 0.9755 0.7500 0.6746  3 Cr 2.58-2.60, 5 Tc 2.70-2.73, 4 Ru 2.71-2.72
Tc: 0.5268 0.7500 0.3238  3 Cr 2.58-2.60, 5 Ru 2.70-2.73, 4 Tc 2.71-2.74
Cr: 0.7532 0.7500 0.0017  3 Tc 2.58-2.60, 3 Ru 2.58-2.60, 6 Cr 2.69-2.74

Results
Crystal system: monoclinic
Electronic total energy in eV per atom: -9.67
SG: P2_1/m
Energy above the most stable polymorph in this dataset in meV/atom: 28

---

A relaxed CrTcRu2 crystal, computed with GGA-PBE.

a b c (Å): 3.7236 3.7236 8.9729
angles (deg): 78.02 78.02 90.00
Closest atoms and distances in Å follow each position.
Element x y z (fractional)
Ru: 0.1422 0.6250 0.2500  2 Cr 2.49, 2 Tc 2.54, 4 Ru 2.54-2.73
Tc: 0.0000 0.0000 0.0000  4 Ru 2.54, 4 Cr 2.63
Ru: 0.6078 0.1250 0.2500  2 Cr 2.49, 2 Tc 2.54, 4 Ru 2.54-2.73
Ru: 0.3750 0.3922 0.7500  2 Cr 2.49, 2 Tc 2.54, 4 Ru 2.54-2.73
Tc: 0.7500 0.2500 0.5000  4 Ru 2.54, 4 Cr 2.63
Cr: 0.5000 0.5000 0.0000  4 Ru 2.49, 4 Tc 2.63
Ru: 0.8750 0.8578 0.7500  2 Cr 2.49, 2 Tc 2.54, 4 Ru 2.54-2.73
Cr: 0.2500 0.7500 0.5000  4 Ru 2.49, 4 Tc 2.63

Results
Crystal system: tetragonal
Electronic total energy in eV per atom: -8.95
SG: I-42d
Energy above the most stable polymorph in this dataset in meV/atom: 620

---

A relaxed CrTcRu3 crystal, computed with GGA-PBE.

a b c (Å): 4.3720 4.3720 4.3720
angles (deg): 90.00 90.00 90.00
Closest atoms and distances in Å follow each position.
Element x y z (fractional)
Ru: 0.5000 0.0000 0.0000  2 Cr 2.19
Ru: 0.0000 0.5000 0.0000  2 Cr 2.19
Ru: 0.0000 0.0000 0.5000  2 Cr 2.19
Cr: 0.0000 0.0000 0.0000  6 Ru 2.19
Tc: 0.5000 0.5000 0.5000  12 Ru 3.09

Results
Crystal system: cubic
Electronic total energy in eV per atom: -8.15
SG: Pm-3m
Energy above the most stable polymorph in this dataset in meV/atom: 0

---

A relaxed CrTcRu2 crystal, computed with GGA-PBE.

a b c (Å): 4.4444 4.4444 2.8650
angles (deg): 90.00 90.00 90.00
Closest atoms and distances in Å follow each position.
Element x y z (fractional)
Tc: 0.5000 0.0000 0.5000  8 Ru 2.64, 2 Tc 2.87
Ru: 0.5000 0.5000 0.0000  4 Cr 2.64, 4 Tc 2.64, 2 Ru 2.87
Ru: 0.0000 0.0000 0.0000  4 Cr 2.64, 4 Tc 2.64, 2 Ru 2.87
Cr: 0.0000 0.5000 0.5000  8 Ru 2.64, 2 Cr 2.87

Results
Crystal system: tetragonal
Electronic total energy in eV per atom: -9.32
SG: P4/mmm
Energy above the most stable polymorph in this dataset in meV/atom: 252

---

A relaxed CrTcRu2 crystal, computed with GGA-PBE.

a b c (Å): 4.6679 4.6679 4.6679
angles (deg): 132.31 132.31 69.75
Closest atoms and distances in Å follow each position.
Element x y z (fractional)
Ru: 0.0000 0.0000 0.0000  4 Tc 2.67, 4 Cr 2.69, 4 Ru 2.69
Tc: 0.5000 0.5000 0.0000  8 Ru 2.67-2.69, 4 Cr 2.69
Ru: 0.2500 0.7500 0.5000  4 Cr 2.67, 4 Tc 2.69, 4 Ru 2.69
Cr: 0.7500 0.2500 0.5000  8 Ru 2.67-2.69, 4 Tc 2.69

Results
Crystal system: tetragonal
Electronic total energy in eV per atom: -9.54
SG: I-4m2
Energy above the most stable polymorph in this dataset in meV/atom: 35

---

A relaxed Cr2TcRu2 crystal, computed with GGA-PBE.

a b c (Å): 7.0303 7.0303 2.7281
angles (deg): 90.00 90.00 90.00
Closest atoms and distances in Å follow each position.
Element x y z (fractional)
Cr: 0.1235 0.3765 0.0000  6 Ru 2.44-2.52, 3 Cr 2.46-2.73
Cr: 0.3765 0.8765 0.0000  6 Ru 2.44-2.52, 3 Cr 2.46-2.73
Ru: 0.1735 0.6735 0.5000  6 Cr 2.44-2.52, 2 Ru 2.73
Tc: 0.0000 0.0000 0.0000  2 Tc 2.73, 4 Cr 2.79, 8 Ru 2.94
Ru: 0.6735 0.8265 0.5000  6 Cr 2.44-2.52, 2 Ru 2.73
Ru: 0.3265 0.1735 0.5000  6 Cr 2.44-2.52, 2 Ru 2.73
Cr: 0.6235 0.1235 0.0000  6 Ru 2.44-2.52, 3 Cr 2.46-2.73
Tc: 0.5000 0.5000 0.0000  2 Tc 2.73, 4 Cr 2.79, 8 Ru 2.94
Ru: 0.8265 0.3265 0.5000  6 Cr 2.44-2.52, 2 Ru 2.73
Cr: 0.8765 0.6235 0.0000  6 Ru 2.44-2.52, 3 Cr 2.46-2.73

Results
Crystal system: tetragonal
Electronic total energy in eV per atom: -9.44
SG: P4/mbm
Energy above the most stable polymorph in this dataset in meV/atom: 0

---

A relaxed CrTcRu2 crystal, computed with GGA-PBE.

a b c (Å): 4.0992 2.7095 5.1179
angles (deg): 74.69 90.00 90.00
Closest atoms and distances in Å follow each position.
Element x y z (fractional)
Cr: 0.5000 0.5616 0.7542  2 Tc 2.40, 5 Ru 2.56-2.68
Tc: 0.0000 0.6853 0.5024  2 Cr 2.40, 3 Ru 2.62-2.68
Ru: 0.0000 0.9524 0.9716  3 Tc 2.62-2.68, 4 Cr 2.68, 6 Ru 2.71-2.87
Ru: 0.5000 0.3007 0.2718  3 Cr 2.56-2.74, 4 Tc 2.71, 2 Ru 2.71

Results
Crystal system: monoclinic
Electronic total energy in eV per atom: -9.54
SG: Pm
Energy above the most stable polymorph in this dataset in meV/atom: 27

---

A relaxed CrTcRu crystal, computed with GGA-PBE.

a b c (Å): 6.6423 6.4463 2.6511
angles (deg): 82.50 74.19 23.31
Closest atoms and distances in Å follow each position.
Element x y z (fractional)
Cr: 0.0001 0.0001 0.9999  2 Tc 2.49, 2 Ru 2.50, 4 Cr 2.65
Tc: 0.6591 0.6591 0.3409  2 Cr 2.49, 4 Tc 2.65, 2 Ru 2.72
Ru: 0.3408 0.3408 0.6592  2 Cr 2.50, 4 Ru 2.65, 2 Tc 2.72

Results
Crystal system: orthorhombic
Electronic total energy in eV per atom: -9.48
SG: Fmm2
Energy above the most stable polymorph in this dataset in meV/atom: 218

---

A relaxed Cr3TcRu crystal, computed with GGA-PBE.

a b c (Å): 4.3488 4.3488 4.3488
angles (deg): 90.00 90.00 90.00
Closest atoms and distances in Å follow each position.
Element x y z (fractional)
Cr: 0.0000 0.0000 0.5000  2 Ru 2.17
Tc: 0.5000 0.5000 0.5000  12 Cr 3.08
Ru: 0.0000 0.0000 0.0000  6 Cr 2.17
Cr: 0.0000 0.5000 0.0000  2 Ru 2.17
Cr: 0.5000 0.0000 0.0000  2 Ru 2.17

Results
Crystal system: cubic
Electronic total energy in eV per atom: -7.99
SG: Pm-3m

---

A relaxed CrTcRu2 crystal, computed with GGA-PBE.

a b c (Å): 4.2791 4.2791 4.2791
angles (deg): 60.00 60.00 60.00
Closest atoms and distances in Å follow each position.
Element x y z (fractional)
Ru: 0.2500 0.2500 0.2500  4 Cr 2.62, 4 Tc 2.62
Cr: 0.0000 0.0000 0.0000  8 Ru 2.62
Ru: 0.7500 0.7500 0.7500  4 Cr 2.62, 4 Tc 2.62
Tc: 0.5000 0.5000 0.5000  8 Ru 2.62

Results
Crystal system: cubic
Electronic total energy in eV per atom: -9.24
SG: Fm-3m
Energy above the most stable polymorph in this dataset in meV/atom: 334

---

A relaxed CrTcRu crystal, computed with GGA-PBE.

a b c (Å): 6.2333 2.7222 9.8692
angles (deg): 90.00 104.85 90.00
Closest atoms and distances in Å follow each position.
Element x y z (fractional)
Cr: 0.9575 0.5000 0.8119  3 Tc 2.57-2.64, 4 Ru 2.60-2.63, 5 Cr 2.62-2.75
Tc: 0.6965 0.0000 0.9345  4 Cr 2.62-2.64, 4 Ru 2.66-2.77, 4 Tc 2.72-2.79
Tc: 0.3413 0.5000 0.7601  3 Cr 2.57-2.60, 5 Ru 2.68-2.69, 4 Tc 2.72-2.79
Cr: 0.0208 0.5000 0.0985  3 Ru 2.58-2.61, 4 Tc 2.60-2.62, 5 Cr 2.62-2.75
Ru: 0.6329 0.5000 0.1529  3 Cr 2.60-2.61, 5 Tc 2.66-2.71, 4 Ru 2.72-2.78
Ru: 0.6329 0.0000 0.6529  3 Cr 2.60-2.61, 5 Tc 2.66-2.71, 4 Ru 2.72-2.78
Tc: 0.6965 0.5000 0.4345  4 Cr 2.62-2.64, 4 Ru 2.66-2.77, 4 Tc 2.72-2.79
Tc: 0.3413 0.0000 0.2601  3 Cr 2.57-2.60, 5 Ru 2.68-2.69, 4 Tc 2.72-2.79
Ru: 0.2763 0.5000 0.4811  4 Cr 2.58-2.63, 4 Tc 2.68-2.77, 4 Ru 2.72-2.78
Cr: 0.0208 0.0000 0.5985  3 Ru 2.58-2.61, 4 Tc 2.60-2.62, 5 Cr 2.62-2.75
Cr: 0.9575 0.0000 0.3119  3 Tc 2.57-2.64, 4 Ru 2.60-2.63, 5 Cr 2.62-2.75
Ru: 0.2763 0.0000 0.9811  4 Cr 2.58-2.63, 4 Tc 2.68-2.77, 4 Ru 2.72-2.78

Results
Crystal system: monoclinic
Electronic total energy in eV per atom: -9.68
SG: Cm
Energy above the most stable polymorph in this dataset in meV/atom: 18